1.
PBE MnCr2OsN, optimized geometry; calculated volume = 11.14 Å³ per atom; crystal system = tetragonal; formation energy without anion corrections = -167.4 meV per atom; SG = P4/mmm
1.0
-2.555 0.576 -2.790
-0.479 -3.781 -0.342
-2.791 0.120 2.581
Cr Mn Os N
2 1 1 1
Cartesian
-0.240 -1.891 -0.171
-1.277 0.288 -1.395
-1.396 0.060 1.290
-2.913 -1.542 -0.276
0.000 0.000 0.000

2.
PBE Mn2CrPN, optimized geometry; calculated volume = 11.65 Å³ per atom; crystal system = tetragonal; formation energy without anion corrections = -286.6 meV per atom; SG = P4mm
1.0
-0.395 -0.769 3.435
-3.386 -0.862 -0.583
1.261 -4.389 -0.838
Mn Cr P N
2 1 1 1
Cartesian
-0.524 -4.500 -1.068
-2.414 -5.316 0.358
-2.787 -2.948 -0.981
-1.130 -3.463 0.921
0.085 -0.296 -0.057

3.
PBE PaMnCr2N4, optimized geometry; calculated volume = 10.99 Å³ per atom; crystal system = tetragonal; formation energy without anion corrections = -647.0 meV per atom; SG = I-42m
1.0
-3.706 -0.124 -3.181
1.262 -4.358 1.813
-0.973 2.379 4.155
Pa Mn Cr N
1 1 2 4
Cartesian
0.000 0.000 0.000
0.144 -0.989 2.984
-1.150 -2.736 0.808
-2.268 0.633 1.979
-0.354 0.731 2.273
-2.097 -1.063 1.054
-1.207 -1.819 4.080
0.529 -1.932 1.348

4.
PBE Pa2MnCrN6, optimized geometry; calculated volume = 12.39 Å³ per atom; crystal system = tetragonal; formation energy without anion corrections = -830.8 meV per atom; SG = P4mm
1.0
-2.337 -3.793 -0.148
1.287 -0.988 5.016
-4.301 2.587 1.613
Pa Mn Cr N
2 1 1 6
Cartesian
0.641 -0.498 2.508
-2.153 1.289 0.806
-1.397 -2.268 -0.088
-2.862 -1.399 3.229
-2.443 -2.328 1.566
-4.574 -1.046 2.365
-1.967 0.053 3.285
-0.445 -0.722 -0.028
-3.937 -1.536 4.850
-1.805 -2.818 4.051